Compound: Ba2ZrZn
Source: Alexandria via LeMat-Bulk
Functional: meta-GGA SCAN
Structure: PBEsol geometry

Total energy, eV per atom: -30.30
Volume, Å³/atom: 31.9
ΔH_f (0 K), meV/atom: 529
DOS(E_F), states/eV per cell: 3.63
M_tot, μB/atom: 0.00

a b c (Å): 3.660 3.660 11.196
angles (deg): 80.59 80.59 60.00
Fractional positions:
1 Ba 0.754 0.754 0.738
2 Ba 0.246 0.246 0.262
3 Zn 0.500 0.500 0.500
4 Zr 0.000 0.000 0.000

---

Compound: BaZr2Zn
Source: Alexandria via LeMat-Bulk
Functional: meta-GGA SCAN
Structure: PBEsol geometry

Total energy, eV per atom: -28.38
Volume, Å³/atom: 24.7
ΔH_f (0 K), meV/atom: 239
DOS(E_F), states/eV per cell: 3.24
M_tot, μB/atom: 0.00

a b c (Å): 3.343 5.366 6.359
angles (deg): 114.96 105.24 90.00
Fractional positions:
1 Ba 0.000 0.500 0.000
2 Zr 0.787 0.787 0.574
3 Zr 0.213 0.213 0.426
4 Zn 0.500 0.000 0.000

---

Compound: BaZr2Zn
Source: Alexandria via LeMat-Bulk
Functional: meta-GGA SCAN
Structure: PBEsol geometry

Total energy, eV per atom: -27.98
Volume, Å³/atom: 22.4
ΔH_f (0 K), meV/atom: 631
DOS(E_F), states/eV per cell: 4.26
M_tot, μB/atom: 0.00

a b c (Å): 3.331 5.190 5.190
angles (deg): 90.00 90.00 90.00
Fractional positions:
1 Ba 0.500 0.500 0.500
2 Zn 0.500 0.000 0.000
3 Zr 0.000 0.000 0.500
4 Zr 0.000 0.500 0.000

---

Compound: BaZrZn2
Source: Alexandria via LeMat-Bulk
Functional: meta-GGA SCAN
Structure: PBEsol geometry

Distance to the lowest polymorph of the same formula, meV per atom: 401
Total energy, eV per atom: -24.08
Volume, Å³/atom: 23.6
ΔH_f (0 K), meV/atom: 244
DOS(E_F), states/eV per cell: 4.13
M_tot, μB/atom: 0.00

a b c (Å): 5.107 5.108 5.108
angles (deg): 60.06 60.01 60.01
Fractional positions:
1 Zn 0.250 0.750 0.750
2 Ba 0.500 0.000 0.000
3 Zn 0.750 0.250 0.250
4 Zr 0.000 0.500 0.500

---

Compound: BaZr
Source: Alexandria via LeMat-Bulk
Functional: meta-GGA SCAN
Structure: PBEsol geometry

Distance to the lowest polymorph of the same formula, meV per atom: 349
Total energy, eV per atom: -34.35
Volume, Å³/atom: 32.0
ΔH_f (0 K), meV/atom: 774
DOS(E_F), states/eV per cell: 3.34
M_tot, μB/atom: 0.62

a b c (Å): 5.655 5.655 5.655
angles (deg): 60.00 60.00 60.00
Site moments in Bohr magnetons follow the coordinates.
Fractional positions:
1 Ba 0.500 0.500 0.500  -0.01
2 Ba 0.750 0.750 0.750  -0.01
3 Zr 0.000 0.000 0.000  0.73
4 Zr 0.250 0.250 0.250  0.73

---

Compound: Ba2Zr
Source: Alexandria via LeMat-Bulk
Functional: meta-GGA SCAN
Structure: PBEsol geometry

Distance to the lowest polymorph of the same formula, meV per atom: 128
Total energy, eV per atom: -35.92
Volume, Å³/atom: 37.3
ΔH_f (0 K), meV/atom: 678
DOS(E_F), states/eV per cell: 8.20
M_tot, μB/atom: 0.77

a b c (Å): 3.588 6.185 10.249
angles (deg): 90.00 100.08 90.00
Site moments in Bohr magnetons follow the coordinates.
Fractional positions:
1 Ba 0.548 0.250 0.096  0.09
2 Ba 0.452 0.750 0.904  0.09
3 Zr 0.120 0.750 0.240  1.04
4 Ba 0.782 0.750 0.564  0.09
5 Ba 0.218 0.250 0.436  0.09
6 Zr 0.880 0.250 0.760  1.04

---

Compound: BaZr
Source: Alexandria via LeMat-Bulk
Functional: meta-GGA SCAN
Structure: PBEsol geometry

Distance to the lowest polymorph of the same formula, meV per atom: 377
Total energy, eV per atom: -34.32
Volume, Å³/atom: 30.4
ΔH_f (0 K), meV/atom: 802
DOS(E_F), states/eV per cell: 3.04
M_tot, μB/atom: 0.00

a b c (Å): 3.454 3.454 6.215
angles (deg): 73.86 73.86 60.00
Fractional positions:
1 Zr 0.500 0.500 0.500
2 Ba 0.000 0.000 0.000

---

Compound: BaZr
Source: Alexandria via LeMat-Bulk
Functional: meta-GGA SCAN
Structure: PBEsol geometry

Distance to the lowest polymorph of the same formula, meV per atom: 228
Total energy, eV per atom: -34.47
Volume, Å³/atom: 33.6
ΔH_f (0 K), meV/atom: 653
DOS(E_F), states/eV per cell: 5.24
M_tot, μB/atom: 0.00

a b c (Å): 3.380 6.532 6.542
angles (deg): 104.93 104.97 90.00
Fractional positions:
1 Zr 0.162 0.377 0.324
2 Ba 0.607 0.829 0.213
3 Zr 0.838 0.623 0.676
4 Ba 0.393 0.171 0.787

---

Which value of DOS(E_F) does entry 4 give?
4.13 states/eV per cell